# 1
Material: BaTl2IO2
Method: DFT, PBE
State: relaxed

The calculation puts the theoretical density at 6.085 g/cm3. Its space group is P2_1/m, No. 11. The formation energy (no corrections) comes out at -1238 meV/atom.

a b c (Å): 7.8409 6.4537 8.3802
angles (deg): 90.00 114.87 90.00
Fractional positions:
Ba1 0.1926 0.2500 0.0636
Ba2 0.8074 0.7500 0.9364
Tl1 0.1579 0.7500 0.7459
Tl2 0.1840 0.7500 0.3878
Tl3 0.8160 0.2500 0.6122
Tl4 0.8421 0.2500 0.2541
I1 0.4884 0.7500 0.1904
I2 0.5116 0.2500 0.8096
O1 0.0138 0.0011 0.1997
O2 0.0138 0.4989 0.1997
O3 0.9862 0.5011 0.8003
O4 0.9862 0.9989 0.8003

# 2
Material: Ho3GaH
Method: DFT, PBE
State: relaxed

The calculation puts the theoretical density at 8.955 g/cm3. Its space group is Pm-3m, No. 221. For the raw total energy, the calculation gives -4.34 eV per atom.

a b c (Å): 4.7157 4.7157 4.7157
angles (deg): 90.00 90.00 90.00
Fractional positions:
Ho1 0.0000 0.0000 0.5000
Ho2 0.0000 0.5000 0.0000
Ho3 0.5000 0.0000 0.0000
Ga1 0.5000 0.5000 0.5000
H1 0.0000 0.0000 0.0000

# 3
Material: TaTc2P
Method: DFT, PBE
State: relaxed

The calculation puts the theoretical density at 11.588 g/cm3. Its space group is Immm, No. 71. The formation energy comes out at -0.328 eV per atom.

a b c (Å): 5.1700 5.1700 5.1700
angles (deg): 146.57 129.14 62.25
Fractional positions:
Ta1 0.0000 0.0000 0.0000
Tc1 0.2845 0.7845 0.5000
Tc2 0.7155 0.2155 0.5000
P1 0.5000 0.5000 0.0000

# 4
Material: ReCO3
Method: DFT, PBE
State: relaxed

The calculation puts the theoretical density at 7.387 g/cm3. Its space group is Pm-3m, No. 221. The formation energy (no corrections) comes out at 326 meV/atom.

a b c (Å): 3.8109 3.8109 3.8109
angles (deg): 90.00 90.00 90.00
Fractional positions:
Re1 0.0000 0.0000 0.0000
C1 0.5000 0.5000 0.5000
O1 0.0000 0.0000 0.5000
O2 0.0000 0.5000 0.0000
O3 0.5000 0.0000 0.0000

Among the records above, which one has the lowest theoretical density? BaTl2IO2

Which of these has the lowest theoretical density? BaTl2IO2